Here is crystalline CrTcNi2 at its relaxed geometry from Alexandria. Energies are from PBE.

Summary:
Space-group type = C2/m, No. 12
Energy of formation = 0.12 eV per atom

Structure (extended XYZ):
```
4
Lattice="4.327 -1.301 0.000 4.327 1.301 0.000 -0.804 0.000 4.295" Properties=species:S:1:pos:R:3 pbc="T T T"
Cr 0.000 0.000 0.000
Tc 3.925 0.000 2.148
Ni 1.576 0.000 3.242
Ni 6.273 0.000 1.054
```

***

Here is crystalline CrTcNi2 at its relaxed geometry from Alexandria. Energies are from PBE.

Summary:
Space-group type = P4/mmm, No. 123
Energy of formation = 0.06 eV per atom

Structure (extended XYZ):
```
4
Lattice="2.520 0.000 0.000 0.000 2.520 0.000 0.000 0.000 7.546" Properties=species:S:1:pos:R:3 pbc="T T T"
Cr 0.000 0.000 0.000
Tc 0.000 0.000 3.773
Ni 1.260 1.260 1.797
Ni 1.260 1.260 5.749
```

***

Question: Which value of energy of formation does entry 2 give?
Answer: 0.06 eV per atom

***

Question: Which formula does entry 2 have?
Answer: CrTcNi2

***

Question: Look up the energy of formation of the first one.
Answer: 0.12 eV per atom